No. 1
The following is a GGA+U calculation of crystalline CuMoI2O at its relaxed geometry, from Alexandria via LeMat-Bulk.

Output
The calculation puts the magnetization at 2.8 μB per formula unit. The value obtained for the polymorph energy (0 for the lowest one) is 0 meV per atom. The calculation puts the calculated total energy at -3.896 eV/atom.

```
CuMoI2O
1.0
5.8702 0.0000 0.0000
0.0000 5.8702 0.0000
0.0000 0.0000 3.8752
Cu Mo I O
1 1 2 1
Direct
0.0000 0.0000 0.0000
0.5000 0.5000 0.5000
0.0000 0.5000 0.5000
0.5000 0.0000 0.5000
0.5000 0.5000 0.0000
```

***

No. 2
The following is a GGA+U calculation of crystalline CuMoI2O at its relaxed geometry, from Alexandria via LeMat-Bulk.

Output
The calculation puts the magnetization at 4.5 μB per formula unit. The value obtained for the polymorph energy (0 for the lowest one) is 349 meV per atom. The calculation puts the calculated total energy at -3.547 eV/atom.

```
CuMoI2O
1.0
5.6550 0.0000 0.0000
0.0000 5.6550 0.0000
0.0000 0.0000 3.6551
Cu Mo I O
1 1 2 1
Direct
0.0000 0.0000 0.0000
0.5000 0.5000 0.5000
0.0000 0.5000 0.0000
0.5000 0.0000 0.0000
0.0000 0.0000 0.5000
```